[1]
NaMnGaP | GGA-PBE | relaxed

abc: 3.7505 3.7505 11.0844
angles: 90.00 90.00 90.00
Site moments in Bohr magnetons follow the coordinates.
Sites, in units of the cell vectors:
Mn 0.7500 0.2500 0.0000  1.81
Mn 0.2500 0.7500 0.0000  1.81
Ga 0.7500 0.2500 0.5000  0.01
Ga 0.2500 0.7500 0.5000  0.01
Na 0.7500 0.7500 0.2490  0.00
Na 0.2500 0.2500 0.7510  0.00
P 0.7500 0.7500 0.8834  -0.08
P 0.2500 0.2500 0.1166  -0.08

Its density of states at the Fermi level is 1.95 states/eV/f.u. The calculation puts the calculated volume at 155.9 Å³/cell. The space-group type is P4/nmm. For the total energy, the calculation gives -40.169 eV for the cell shown. Its total magnetization is 3.612 μB per cell.


[2]
LaInI2 | GGA-PBE | relaxed

abc: 4.2958 4.2958 11.2727
angles: 79.02 79.02 60.00
Sites, in units of the cell vectors:
I 0.0943 0.0943 0.7171
I 0.9057 0.9057 0.2829
La 0.0000 0.0000 0.0000
In 0.5000 0.5000 0.5000

The energy above the lowest structure with this stoichiometry is 181 meV/atom. Its density of states at the Fermi level is 2.72 states/eV/f.u. The calculation puts the calculated volume at 175.7 Å³/cell. The space-group type is R-3m. For the total energy, the calculation gives -12.641 eV for the cell shown. Its total magnetization is 0.000 μB per cell. The value obtained for the uncorrected formation energy is -469 meV per atom.


[3]
Ac3AgGe6Au2 | GGA-PBE | relaxed

abc: 6.2995 6.2995 8.7972
angles: 90.00 90.00 120.00
Sites, in units of the cell vectors:
Au 0.3333 0.6667 0.0114
Au 0.6667 0.3333 0.9886
Ge 0.8037 0.1963 0.7098
Ge 0.3926 0.1963 0.7098
Ge 0.1963 0.3926 0.2902
Ge 0.6074 0.8037 0.2902
Ge 0.8037 0.6074 0.7098
Ge 0.1963 0.8037 0.2902
Ag 0.0000 0.0000 0.5000
Ac 0.3333 0.6667 0.6443
Ac 0.0000 0.0000 0.0000
Ac 0.6667 0.3333 0.3557

Its density of states at the Fermi level is 4.25 states/eV/f.u. The calculation puts the calculated volume at 302.3 Å³/cell. The space-group type is P-3m1. For the total energy, the calculation gives -54.093 eV for the cell shown. Its total magnetization is 0.000 μB per cell.


[4]
LaHoNi4 | GGA-PBE | relaxed

abc: 5.1334 5.1334 5.1334
angles: 60.00 60.00 60.00
Sites, in units of the cell vectors:
Ni 0.6240 0.1279 0.6240
Ni 0.6240 0.6240 0.6240
Ni 0.1279 0.6240 0.6240
Ni 0.6240 0.6240 0.1279
Ho 0.2500 0.2500 0.2500
La 0.0000 0.0000 0.0000

Its density of states at the Fermi level is 4.24 states/eV/f.u. The calculation puts the calculated volume at 95.7 Å³/cell. The space-group type is F-43m. For the total energy, the calculation gives -34.922 eV for the cell shown. Its total magnetization is 0.000 μB per cell.


[5]
La2ZrAl | GGA-PBE | relaxed

abc: 10.6210 10.6210 10.6210
angles: 19.10 19.10 19.10
Sites, in units of the cell vectors:
La 0.0112 0.0112 0.0112
La 0.2422 0.2422 0.2422
Zr 0.4902 0.4902 0.4902
Al 0.7564 0.7564 0.7564

Its density of states at the Fermi level is 6.25 states/eV/f.u. The calculation puts the calculated volume at 112.1 Å³/cell. The space-group type is R3m. For the total energy, the calculation gives -21.955 eV for the cell shown. Its total magnetization is 0.000 μB per cell.


[6]
Pr6Sb2Pd | GGA-PBE | relaxed

abc: 6.5095 8.4374 10.5262
angles: 90.00 91.46 90.00
Sites, in units of the cell vectors:
Pr 0.6225 0.1868 0.5465
Pr 0.1225 0.3132 0.0465
Pr 0.3775 0.8132 0.4535
Pr 0.6352 0.1717 0.9562
Pr 0.3731 0.5272 0.7405
Pr 0.8648 0.6717 0.5438
Pr 0.6269 0.4728 0.2595
Pr 0.1352 0.3283 0.4562
Pr 0.8775 0.6868 0.9535
Pr 0.8731 0.9728 0.2405
Pr 0.3648 0.8283 0.0438
Pr 0.1269 0.0272 0.7595
Sb 0.4049 0.1163 0.2513
Sb 0.0951 0.6163 0.2487
Sb 0.5951 0.8837 0.7487
Sb 0.9049 0.3837 0.7513
Pd 0.0000 0.0000 0.5000
Pd 0.5000 0.5000 0.0000

Its density of states at the Fermi level is 11.22 states/eV/f.u. The calculation puts the calculated volume at 577.9 Å³/cell. The space-group type is P2_1/c. For the total energy, the calculation gives -95.938 eV for the cell shown. Its total magnetization is 0.000 μB per cell. The value obtained for the uncorrected formation energy is -651 meV per atom.